## Li2NpBe2O6 (GGA-PBE)

Data for a relaxed Li2NpBe2O6 crystal.

POSCAR file:
```
Li2NpBe2O6
1.0
5.116 0.000 0.000
-2.558 4.431 0.000
0.000 0.000 6.228
Li Np Be O
2 1 2 6
direct
0.333 0.667 0.272
0.667 0.333 0.728
0.000 0.000 0.000
0.333 0.667 0.806
0.667 0.333 0.194
0.308 0.351 0.805
0.044 0.692 0.805
0.649 0.956 0.805
0.692 0.649 0.195
0.956 0.308 0.195
0.351 0.044 0.195
```

- V: 12.8 A^3/atom
- Formation energy from raw total energies: -2.447 eV/atom